Entry from the Alexandria database: a relaxed Ti3V2CuP6O24 crystal (PBE+U).

Structure (CIF):
```
data_Ti3V2CuP6O24
_chemical_formula_sum 'Ti9 V6 Cu3 P18 O72'
_cell_length_a 8.6584
_cell_length_b 8.6584
_cell_length_c 20.8446
_cell_angle_alpha 90.00
_cell_angle_beta 90.00
_cell_angle_gamma 120.00
_space_group_name_H-M_alt 'R 3'
_space_group_IT_number 146
_space_group_name_Hall 'R 3'
loop_
_atom_site_label
_atom_site_type_symbol
_atom_site_fract_x
_atom_site_fract_y
_atom_site_fract_z
Ti1 Ti 0.0000 0.0000 0.0000
Ti2 Ti 0.0000 0.0000 0.2111
Ti3 Ti 0.0000 0.0000 0.5030
V1 V 0.0000 0.0000 0.3552
V2 V 0.0000 0.0000 0.8543
Cu1 Cu 0.0000 0.0000 0.7113
P1 P 0.0011 0.2954 0.6089
P2 P 0.0024 0.7078 0.1068
O1 O 0.0054 0.1771 0.2761
O2 O 0.0274 0.8291 0.1650
O3 O 0.0289 0.8329 0.7850
O4 O 0.1270 0.4580 0.3374
O5 O 0.1440 0.6676 0.7125
O6 O 0.1479 0.4780 0.2153
O7 O 0.1695 0.6853 0.0998
O8 O 0.1721 0.4829 0.5990
```

Values from the calculation:
**Total DFT energy (no corrections)**: -7.69 eV/atom